First-principles (GGA-PBE) data for a geometry-optimized Be2RePb structure, as listed in Alexandria.

Cell: 3.0178 3.0178 24.5893 Å, 90.00 90.00 120.00°
With the nearest neighbours (Å) after each atom.
Fractional positions:
1 Be 0.0000 0.0000 0.2326  3 Re 2.38
2 Be 0.0000 0.0000 0.7674  3 Re 2.38
3 Be 0.3333 0.6667 0.4340  3 Re 2.38
4 Be 0.3333 0.6667 0.8993  3 Re 2.38
5 Be 0.6667 0.3333 0.1007  3 Re 2.38
6 Be 0.6667 0.3333 0.5660  3 Re 2.38
7 Re 0.0000 0.0000 0.5000  6 Be 2.38
8 Re 0.3333 0.6667 0.1667  6 Be 2.38
9 Re 0.6667 0.3333 0.8333  6 Be 2.38
10 Pb 0.0000 0.0000 0.0000  6 Pb 3.02, 6 Be 3.03
11 Pb 0.3333 0.6667 0.6667  6 Pb 3.02, 6 Be 3.03
12 Pb 0.6667 0.3333 0.3333  6 Pb 3.02, 6 Be 3.03

Output
- total energy (eV/atom) = -5.2355
- DOS at the Fermi energy (states/eV/atom) = 0.568
- crystal system = trigonal
- magnetization (μB per formula unit) = 0.0